Entry A
Compound: CsCr3Cu
Source: the Alexandria database
Functional: PBE-GGA
Structure: relaxed

a b c (Å): 5.048 5.048 5.048
angles (deg): 90.00 90.00 90.00
Atoms (fractional coordinates):
Cs  0.500  0.500  0.500
Cr  0.000  0.500  0.000
Cr  0.000  0.000  0.500
Cr  0.500  0.000  0.000
Cu  0.000  0.000  0.000

## Properties
Crystal system: cubic

Entry B
Compound: CsCr3Cu
Source: the Alexandria database
Functional: PBE-GGA
Structure: relaxed

a b c (Å): 5.016 5.016 5.016
angles (deg): 90.00 90.00 90.00
Atoms (fractional coordinates):
Cs  0.000  0.000  0.000
Cr  0.000  0.500  0.000
Cr  0.000  0.000  0.500
Cr  0.500  0.000  0.000
Cu  0.500  0.500  0.500

## Properties
Crystal system: cubic

Most stable structure, least stable structure: entry A, entry B.

Entry A
Compound: CsLiCr2Cu
Source: the Alexandria database
Functional: PBE-GGA
Structure: relaxed

a b c (Å): 5.012 4.909 5.012
angles (deg): 90.00 90.00 90.00
Atoms (fractional coordinates):
Cs  0.500  0.500  0.500
Cr  0.000  0.000  0.500
Cr  0.500  0.000  0.000
Cu  0.000  0.500  0.000
Li  0.000  0.000  0.000

## Properties
Crystal system: tetragonal

Entry B
Compound: CsLiCr2Cu
Source: the Alexandria database
Functional: PBE-GGA
Structure: relaxed

a b c (Å): 4.946 5.780 4.946
angles (deg): 90.00 90.00 90.00
Atoms (fractional coordinates):
Cs  0.000  0.500  0.000
Cr  0.000  0.000  0.500
Cr  0.500  0.000  0.000
Cu  0.500  0.500  0.500
Li  0.000  0.000  0.000

## Properties
Crystal system: tetragonal

Most stable structure, least stable structure: entry A, entry B.